First-principles (PBE) data for an optimized crystal structure of SrCa2PtAu, as listed in Alexandria.

```
SrCa2PtAu
1.0
5.4523 0.0000 0.0000
0.0000 5.7906 0.0000
0.0000 0.0000 5.4523
Ca Pt Au Sr
2 1 1 1
Cartesian
0.0000 0.0000 2.7261 Ca
2.7261 0.0000 0.0000 Ca
0.0000 0.0000 0.0000 Pt
2.7261 2.8953 2.7261 Au
0.0000 2.8953 0.0000 Sr
```

Summary:
* raw total energy: -3.489 eV per atom
* calculated volume: 34.4 Å³/atom
* energy of formation from the pure elements: -2.4 eV/f.u.
* offset from the most stable computed form: 0.0000 eV per atom



First-principles (PBE) data for an optimized crystal structure of CaCd3Hg2, as listed in Alexandria.

```
CaCd3Hg2
1.0
-1.5031 0.5332 -4.2047
5.2454 -8.3437 -0.5283
-7.4893 -0.3888 2.6279
Hg Cd Ca
4 6 2
Cartesian
-2.1254 -0.0684 -1.6537 Hg
0.0733 -3.9074 -2.9265 Hg
-3.8203 -4.2918 0.8214 Hg
-1.6216 -8.1309 -0.4514 Hg
-2.6153 -3.0392 -1.8553 Cd
-5.3595 -2.1840 -0.7659 Cd
1.6125 -6.0153 -1.3392 Cd
-2.9010 -1.3450 0.8665 Cd
-0.8460 -6.8543 -2.9716 Cd
-1.1317 -5.1600 -0.2498 Cd
0.4926 -1.8978 -0.4168 Ca
-4.2396 -6.3014 -1.6884 Ca
```

Summary:
* raw total energy: -1.114 eV per atom
* calculated volume: 24.9 Å³/atom
* energy of formation from the pure elements: -1.3 eV/f.u.
* offset from the most stable computed form: 0.0000 eV per atom



First-principles (PBE) data for an optimized crystal structure of ScTcPb2, as listed in Alexandria.

```
ScTcPb2
1.0
-4.1668 4.4762 4.9989
1.8026 -4.9213 5.9093
1.3539 1.4482 6.0719
Pb Sc Tc
4 2 2
Cartesian
-1.0131 0.5870 14.2303 Pb
1.0371 -2.2540 5.7247 Pb
0.0887 1.0289 8.5128 Pb
-2.1333 2.6443 5.4924 Pb
0.9872 -1.8479 8.7177 Sc
-1.1821 -0.2226 5.4541 Sc
0.0000 0.0000 0.0000 Tc
-1.9975 2.8509 8.2625 Tc
```

Summary:
* raw total energy: -5.634 eV per atom
* calculated volume: 24.2 Å³/atom
* energy of formation from the pure elements: 1.6 eV/f.u.
* offset from the most stable computed form: 0.3205 eV per atom



First-principles (PBE) data for an optimized crystal structure of KLiCu4, as listed in Alexandria.

```
KLiCu4
1.0
0.0000 3.6788 3.6788
3.6788 0.0000 3.6788
3.6788 3.6788 0.0000
K Li Cu
1 1 4
Cartesian
5.5182 5.5182 5.5182 K
0.0000 0.0000 0.0000 Li
4.6083 2.7493 4.6083 Cu
2.7493 2.7493 2.7493 Cu
2.7493 4.6083 4.6083 Cu
4.6083 4.6083 2.7493 Cu
```

Summary:
* raw total energy: -3.020 eV per atom
* calculated volume: 16.6 Å³/atom
* energy of formation from the pure elements: 1.3 eV/f.u.



First-principles (PBE) data for an optimized crystal structure of ErTm2Tc, as listed in Alexandria.

```
ErTm2Tc
1.0
6.1369 0.0000 0.0000
0.0000 7.4260 0.0000
0.0000 0.0000 8.9890
Tm Tc Er
8 4 4
Cartesian
2.1259 1.3052 0.5654 Tm
0.9425 5.0182 3.9291 Tm
4.0110 6.1208 5.0599 Tm
4.0110 6.1208 8.4236 Tm
5.1944 2.4078 8.4236 Tm
2.1259 1.3052 3.9291 Tm
5.1944 2.4078 5.0599 Tm
0.9425 5.0182 0.5654 Tm
2.7860 6.5571 2.2472 Tc
0.2824 2.8441 2.2472 Tc
5.8545 4.5819 6.7417 Tc
3.3509 0.8689 6.7417 Tc
0.7718 7.1267 6.7417 Er
3.8403 4.0123 2.2472 Er
5.3651 0.2993 2.2472 Er
2.2966 3.4137 6.7417 Er
```

Summary:
* raw total energy: -6.114 eV per atom
* calculated volume: 25.6 Å³/atom
* energy of formation from the pure elements: -0.6 eV/f.u.
* offset from the most stable computed form: 0.0000 eV per atom



First-principles (PBE) data for an optimized crystal structure of SiTcOs, as listed in Alexandria.

```
SiTcOs
1.0
-3.7714 0.0479 1.7594
3.3089 -1.2309 2.2039
0.4211 2.6202 0.8312
Tc Si Os
1 1 1
Cartesian
1.2296 0.9424 2.6100 Tc
-1.3413 0.0571 2.0457 Si
0.0703 0.4376 0.1388 Os
```

Summary:
* raw total energy: -9.199 eV per atom
* calculated volume: 13.9 Å³/atom
* offset from the most stable computed form: 0.0762 eV per atom



First-principles (PBE) data for an optimized crystal structure of Na2CuBr5, as listed in Alexandria.

```
Na2CuBr5
1.0
-5.4479 0.8744 -2.0978
1.0716 -6.8038 2.6861
-3.6898 3.8327 11.1801
Cu Br Na
2 10 4
Cartesian
-6.5578 -0.7976 8.3930 Cu
-1.5083 -1.2991 3.3755 Cu
-5.6191 0.3073 6.4158 Br
-7.4860 -1.9108 10.3394 Br
-4.2381 -0.8844 2.3324 Br
-6.4789 -2.9568 7.2881 Br
-1.4200 -3.4708 2.2409 Br
-2.4470 -2.4041 5.3527 Br
-0.5801 -0.1859 1.4291 Br
-1.5872 0.8601 4.4804 Br
-3.8280 -1.2123 9.4361 Br
-6.6461 1.3741 9.5275 Br
-3.9638 1.2784 10.8271 Na
-5.3346 -2.0952 4.6753 Na
-4.1022 -3.3752 0.9414 Na
-2.7315 -0.0016 7.0932 Na
```

Summary:
* raw total energy: -2.690 eV per atom
* calculated volume: 31.0 Å³/atom



First-principles (PBE) data for an optimized crystal structure of CsBa4O5, as listed in Alexandria.

```
CsBa4O5
1.0
-2.7136 1.7168 2.5105
-3.5639 -5.2614 3.0545
3.8097 -0.5528 7.8047
Ba O Cs
4 5 1
Cartesian
-0.0610 -0.4008 6.8257 Ba
-1.2705 -2.2780 10.1109 Ba
-1.1973 -1.8195 3.2588 Ba
-2.4068 -3.6966 6.5440 Ba
1.0339 -1.6915 8.8918 O
0.1229 -2.9071 5.4296 O
-1.2182 -4.8027 8.5852 O
-1.2497 0.7052 4.7845 O
-3.5017 -2.4059 4.4779 O
0.0000 0.0000 0.0000 Cs
```

Summary:
* raw total energy: -5.454 eV per atom
* calculated volume: 23.0 Å³/atom